Computed, not measured: a PBEsol-optimized structure of Tm4B3C4 at the SCAN level of DFT.

a = 3.4072 Å, b = 3.5051 Å, c = 11.7374 Å
α = 92.66°, β = 98.19°, γ = 90.01°
Last column: nearest neighbours and their distance in Å.
Positions (direct):
1 Tm 0.0731 0.4476 0.1397  5 C 2.22-2.46
2 Tm 0.3239 0.0228 0.6509  5 C 2.45-2.61
3 Tm 0.6761 0.9772 0.3491  5 C 2.45-2.61
4 Tm 0.9269 0.5524 0.8603  5 C 2.22-2.46
5 B 0.2306 0.4940 0.4599  1 C 1.50
6 B 0.5000 0.0000 0.0000  2 C 1.47
7 B 0.7694 0.5060 0.5401  1 C 1.50
8 C 0.1669 0.4741 0.3307  1 B 1.50
9 C 0.4337 0.0578 0.8754  1 B 1.47
10 C 0.5663 0.9422 0.1246  1 B 1.47
11 C 0.8331 0.5259 0.6693  1 B 1.50

Properties
space group = P-1

Computed, not measured: a PBEsol-optimized structure of Ca2AgPt at the SCAN level of DFT.

a = 3.9451 Å, b = 4.0211 Å, c = 6.0147 Å
α = 90.00°, β = 90.00°, γ = 90.00°
Last column: nearest neighbours and their distance in Å.
Positions (direct):
1 Ca 0.0000 0.0000 0.0000  4 Ag 2.97, 2 Pt 2.98-3.04
2 Ca 0.5000 0.5000 0.3803  1 Ag 2.80, 4 Pt 2.91
3 Ag 0.5000 0.5000 0.8451  5 Ca 2.80-2.97
4 Pt 0.0000 0.0000 0.5046  6 Ca 2.91-3.04

Properties
space group = Pmm2

Computed, not measured: a PBEsol-optimized structure of KAlP4 at the SCAN level of DFT.

a = 5.4533 Å, b = 5.4533 Å, c = 5.4533 Å
α = 60.00°, β = 60.00°, γ = 60.00°
Last column: nearest neighbours and their distance in Å.
Positions (direct):
1 K 0.0000 0.0000 0.0000  12 P 3.25, 4 Al 3.34
2 Al 0.7500 0.7500 0.7500  12 P 3.16, 4 K 3.34
3 P 0.3928 0.3928 0.3928  3 P 2.34
4 P 0.3928 0.3928 0.8217  3 P 2.34
5 P 0.3928 0.8217 0.3928  3 P 2.34
6 P 0.8217 0.3928 0.3928  3 P 2.34

Properties
space group = F-43m
ΔE to the lowest computed polymorph = 746 meV/atom

Computed, not measured: a PBEsol-optimized structure of KMgCd at the SCAN level of DFT.

a = 7.5287 Å, b = 7.5287 Å, c = 7.5287 Å
α = 90.00°, β = 90.00°, γ = 90.00°
Last column: nearest neighbours and their distance in Å.
Positions (direct):
1 K 0.0000 0.0000 0.0000  4 Mg 3.26
2 K 0.0000 0.5000 0.5000  4 Mg 3.26
3 K 0.5000 0.0000 0.5000  4 Mg 3.26
4 K 0.5000 0.5000 0.0000  4 Mg 3.26
5 Mg 0.2500 0.2500 0.2500  4 Cd 3.26, 4 K 3.26
6 Mg 0.2500 0.7500 0.7500  4 Cd 3.26, 4 K 3.26
7 Mg 0.7500 0.2500 0.7500  4 Cd 3.26, 4 K 3.26
8 Mg 0.7500 0.7500 0.2500  4 Cd 3.26, 4 K 3.26
9 Cd 0.0000 0.0000 0.5000  4 Mg 3.26
10 Cd 0.0000 0.5000 0.0000  4 Mg 3.26
11 Cd 0.5000 0.0000 0.0000  4 Mg 3.26
12 Cd 0.5000 0.5000 0.5000  4 Mg 3.26

Properties
space group = F-43m

Total DFT energy (no corrections) (eV/atom)
-25.200, -30.672, -9.298, -14.312
E_form (eV/atom)
-0.6531, -0.4501, 0.3149, 0.2603